No. 1
Compound: AcPm6Dy2Y3
Source: the Alexandria database
Functional: GGA-PBE
Structure: optimized geometry

total DFT energy (no corrections) = -60.90 eV/f.u.
DOS(E_F) = 16.0 states/eV/cell

Cell lengths 6.3121, 6.3121, 12.0525 Å; angles 95.01, 95.01, 119.98 degrees
Fractional positions:
Ac1 0.0000 0.0000 0.0000
Pm1 0.0849 0.4213 0.2536
Pm2 0.2513 0.2513 0.7460
Pm3 0.4213 0.0849 0.2536
Pm4 0.5787 0.9151 0.7464
Pm5 0.7487 0.7487 0.2540
Pm6 0.9151 0.5787 0.7464
Dy1 0.3334 0.6666 0.0000
Dy2 0.6666 0.3334 0.0000
Y1 0.1672 0.8328 0.5000
Y2 0.5000 0.5000 0.5000
Y3 0.8328 0.1672 0.5000

***

No. 2
Compound: AcPm2DyY2
Source: the Alexandria database
Functional: GGA-PBE
Structure: optimized geometry

total DFT energy (no corrections) = -30.74 eV/f.u.
DOS(E_F) = 18.8 states/eV/cell

Cell lengths 7.2447, 5.7657, 9.9456 Å; angles 90.00, 90.00, 90.00 degrees
Fractional positions:
Ac1 0.0000 0.0000 0.0000
Ac2 0.5000 0.0000 0.0000
Pm1 0.2500 0.0000 0.3380
Pm2 0.2500 0.5000 0.8260
Pm3 0.7500 0.0000 0.6620
Pm4 0.7500 0.5000 0.1740
Dy1 0.2500 0.5000 0.1721
Dy2 0.7500 0.5000 0.8279
Y1 0.0000 0.5000 0.5000
Y2 0.2500 0.0000 0.6613
Y3 0.5000 0.5000 0.5000
Y4 0.7500 0.0000 0.3387

***

| no. | ΔH_f (0 K) (eV per atom) |
| --- | --- |
| 1 | 0.03 |
| 2 | 0.07 |